DFT (PBE) results for an optimized crystal structure of K3Cd3Pt2.

Unit cell a=6.5097 b=9.0672 c=16.3539 alpha=90.00 beta=90.00 gamma=90.00
Fractional positions:
1 Pt 0.1233 0.8759 0.9013
2 Pt 0.8767 0.1241 0.4013
3 Pt 0.6233 0.6241 0.0987
4 Pt 0.1233 0.8759 0.5987
5 Pt 0.3767 0.3759 0.5987
6 Pt 0.3767 0.3759 0.9013
7 Pt 0.8767 0.1241 0.0987
8 Pt 0.6233 0.6241 0.4013
9 Cd 0.9525 0.8475 0.7500
10 Cd 0.1151 0.1634 0.5386
11 Cd 0.6151 0.3366 0.4614
12 Cd 0.4525 0.6525 0.2500
13 Cd 0.8849 0.8366 0.0386
14 Cd 0.0475 0.1525 0.2500
15 Cd 0.1151 0.1634 0.9614
16 Cd 0.8849 0.8366 0.4614
17 Cd 0.5475 0.3475 0.7500
18 Cd 0.6151 0.3366 0.0386
19 Cd 0.3849 0.6634 0.9614
20 Cd 0.3849 0.6634 0.5386
21 K 0.8940 0.5380 0.6065
22 K 0.6060 0.0380 0.6065
23 K 0.3940 0.9620 0.3935
24 K 0.8940 0.5380 0.8935
25 K 0.4098 0.6976 0.7500
26 K 0.5902 0.3024 0.2500
27 K 0.3940 0.9620 0.1065
28 K 0.1060 0.4620 0.3935
29 K 0.1060 0.4620 0.1065
30 K 0.0902 0.1976 0.7500
31 K 0.9098 0.8024 0.2500
32 K 0.6060 0.0380 0.8935

Properties
- Magnetization: 0.0 μB per cell
- Energy of formation: -1.48 eV/f.u.
- ρ: 5.8 g cm⁻³